Entry 1:
MgScF2, relaxed, DFT PBE-GGA; crystal system = cubic; space group = No. 225; E_form (uncorrected) = -1565 meV/atom; magnetic moment = 1.0 μB/f.u.; raw total energy = -4.483 eV/atom
1.0
0.0000 3.1074 3.1074
3.1074 0.0000 3.1074
3.1074 3.1074 0.0000
Mg Sc F
1 1 2
Direct
0.0000 0.0000 0.0000 Mg
0.5000 0.5000 0.5000 Sc
0.2500 0.2500 0.2500 F
0.7500 0.7500 0.7500 F

Entry 2:
MgSc2F8, relaxed, DFT PBE-GGA; crystal system = monoclinic; space group = No. 12; E_form (uncorrected) = -3800 meV/atom; magnetic moment = 0.0 μB/f.u.; raw total energy = -6.457 eV/atom
1.0
4.3042 -3.2872 0.0000
4.3042 3.2872 0.0000
-1.3244 0.0000 4.7919
Mg Sc F
1 2 8
Direct
0.0000 0.0000 0.0000 Mg
0.3204 0.3204 0.5735 Sc
0.6796 0.6796 0.4265 Sc
0.0489 0.6601 0.7154 F
0.1554 0.1554 0.7830 F
0.3399 0.9511 0.2846 F
0.4341 0.4341 0.2483 F
0.5659 0.5659 0.7517 F
0.6601 0.0489 0.7154 F
0.8446 0.8446 0.2170 F
0.9511 0.3399 0.2846 F

Entry 3:
Mg2ScF, relaxed, DFT PBE-GGA; crystal system = cubic; space group = No. 225; E_form (uncorrected) = -193 meV/atom; magnetic moment = 1.3 μB/f.u.; raw total energy = -3.041 eV/atom
1.0
0.0000 3.5397 3.5397
3.5397 0.0000 3.5397
3.5397 3.5397 0.0000
Mg Sc F
2 1 1
Direct
0.2500 0.2500 0.2500 Mg
0.7500 0.7500 0.7500 Mg
0.0000 0.0000 0.0000 Sc
0.5000 0.5000 0.5000 F

Entry 4:
MgSc4F2, relaxed, DFT PBE-GGA; crystal system = tetragonal; space group = No. 139; E_form (uncorrected) = -691 meV/atom; magnetic moment = 0.0 μB/f.u.; raw total energy = -5.072 eV/atom
1.0
-2.6312 2.6312 5.9228
2.6312 -2.6312 5.9228
2.6312 2.6312 -5.9228
Mg Sc F
1 4 2
Direct
0.0000 0.0000 0.0000 Mg
0.0000 0.5000 0.5000 Sc
0.2441 0.2441 0.0000 Sc
0.5000 0.0000 0.5000 Sc
0.7559 0.7559 0.0000 Sc
0.4063 0.4063 0.0000 F
0.5937 0.5937 0.0000 F

Entry 5:
Mg2ScF, relaxed, DFT PBE-GGA; crystal system = tetragonal; space group = No. 122; E_form (uncorrected) = -860 meV/atom; magnetic moment = 0.0 μB/f.u.; raw total energy = -3.708 eV/atom
1.0
-3.2036 3.2036 4.2526
3.2036 -3.2036 4.2526
3.2036 3.2036 -4.2526
Mg Sc F
4 2 2
Direct
0.3750 0.2224 0.3474 Mg
0.7776 0.1250 0.1526 Mg
0.8750 0.0276 0.6526 Mg
0.9724 0.6250 0.8474 Mg
0.2500 0.7500 0.5000 Sc
0.5000 0.5000 0.0000 Sc
0.0000 0.0000 0.0000 F
0.7500 0.2500 0.5000 F

Entry 6:
MgScF4, relaxed, DFT PBE-GGA; crystal system = monoclinic; space group = No. 10; E_form (uncorrected) = -3300 meV/atom; magnetic moment = 0.5 μB/f.u.; raw total energy = -5.869 eV/atom
1.0
4.6808 0.0000 0.0000
0.0000 3.0053 0.0000
-0.7854 0.0000 5.7985
Mg Sc F
1 1 4
Direct
0.0000 0.0000 0.0000 Mg
0.0000 0.5000 0.5000 Sc
0.2007 0.5000 0.8587 F
0.2374 0.0000 0.3174 F
0.7626 0.0000 0.6826 F
0.7993 0.5000 0.1413 F

Entry 7:
Mg3ScF, relaxed, DFT PBE-GGA; crystal system = cubic; space group = No. 221; E_form (uncorrected) = 561 meV/atom; magnetic moment = 0.0 μB/f.u.; raw total energy = -2.036 eV/atom
1.0
5.9260 0.0000 0.0000
0.0000 5.9260 0.0000
0.0000 0.0000 5.9260
Mg Sc F
3 1 1
Direct
0.0000 0.0000 0.5000 Mg
0.0000 0.5000 0.0000 Mg
0.5000 0.0000 0.0000 Mg
0.0000 0.0000 0.0000 Sc
0.5000 0.5000 0.5000 F

Entry 8:
MgScF2, relaxed, DFT PBE-GGA; crystal system = tetragonal; space group = No. 122; E_form (uncorrected) = -2045 meV/atom; magnetic moment = 1.9 μB/f.u.; raw total energy = -4.963 eV/atom
1.0
-2.5500 2.5500 5.0452
2.5500 -2.5500 5.0452
2.5500 2.5500 -5.0452
Mg Sc F
2 2 4
Direct
0.0000 0.0000 0.0000 Mg
0.7500 0.2500 0.5000 Mg
0.2500 0.7500 0.5000 Sc
0.5000 0.5000 0.0000 Sc
0.0764 0.6250 0.9514 F
0.3750 0.3264 0.4514 F
0.6736 0.1250 0.0486 F
0.8750 0.9236 0.5486 F

Entry 9:
MgScF3, relaxed, DFT PBE-GGA; crystal system = cubic; space group = No. 221; E_form (uncorrected) = -2518 meV/atom; magnetic moment = 1.7 μB/f.u.; raw total energy = -5.226 eV/atom
1.0
4.0483 0.0000 0.0000
0.0000 4.0483 0.0000
0.0000 0.0000 4.0483
Mg Sc F
1 1 3
Direct
0.0000 0.0000 0.0000 Mg
0.5000 0.5000 0.5000 Sc
0.0000 0.0000 0.5000 F
0.0000 0.5000 0.0000 F
0.5000 0.0000 0.0000 F

Entry 10:
MgScF2, relaxed, DFT PBE-GGA; crystal system = trigonal; space group = No. 166; E_form (uncorrected) = -2279 meV/atom; magnetic moment = 0.9 μB/f.u.; raw total energy = -5.196 eV/atom
1.0
1.6739 0.9664 6.3146
-1.6739 0.9664 6.3146
0.0000 -1.9329 6.3146
Mg Sc F
1 1 2
Direct
0.0000 0.0000 0.0000 Mg
0.5000 0.5000 0.5000 Sc
0.3785 0.3785 0.3785 F
0.6215 0.6215 0.6215 F

Entry 11:
MgScF3, relaxed, DFT PBE-GGA; crystal system = cubic; space group = No. 221; E_form (uncorrected) = -2669 meV/atom; magnetic moment = 0.0 μB/f.u.; raw total energy = -5.377 eV/atom
1.0
4.2722 0.0000 0.0000
0.0000 4.2722 0.0000
0.0000 0.0000 4.2722
Mg Sc F
1 1 3
Direct
0.0000 0.0000 0.0000 Mg
0.5000 0.5000 0.5000 Sc
0.0000 0.5000 0.5000 F
0.5000 0.0000 0.5000 F
0.5000 0.5000 0.0000 F

Entry 12:
Mg3ScF, relaxed, DFT PBE-GGA; crystal system = cubic; space group = No. 221; E_form (uncorrected) = -749 meV/atom; magnetic moment = 0.0 μB/f.u.; raw total energy = -3.347 eV/atom
1.0
4.6226 0.0000 0.0000
0.0000 4.6226 0.0000
0.0000 0.0000 4.6226
Mg Sc F
3 1 1
Direct
0.0000 0.0000 0.5000 Mg
0.0000 0.5000 0.0000 Mg
0.5000 0.0000 0.0000 Mg
0.5000 0.5000 0.5000 Sc
0.0000 0.0000 0.0000 F

Entry 13:
MgScF, relaxed, DFT PBE-GGA; crystal system = orthorhombic; space group = No. 38; E_form (uncorrected) = -1306 meV/atom; magnetic moment = 0.0 μB/f.u.; raw total energy = -4.571 eV/atom
1.0
14.3534 0.0000 0.0000
0.0000 1.5344 2.7061
0.0000 -1.5344 2.7061
Mg Sc F
2 2 2
Direct
0.0000 0.0000 0.0000 Mg
0.5000 0.1115 0.1115 Mg
0.3094 0.7883 0.7883 Sc
0.6906 0.7883 0.7883 Sc
0.0801 0.3318 0.3318 F
0.9199 0.3318 0.3318 F

Entry 14:
MgScTlF6, relaxed, DFT PBE-GGA; crystal system = orthorhombic; space group = No. 74; E_form (uncorrected) = -3357 meV/atom; magnetic moment = 0.0 μB/f.u.; raw total energy = -5.748 eV/atom
1.0
-3.7115 3.8591 5.3511
3.7115 -3.8591 5.3511
3.7115 3.8591 -5.3511
Mg Sc Tl F
2 2 2 12
Direct
0.5000 0.0000 0.0000 Mg
0.5000 0.5000 0.5000 Mg
0.0000 0.0000 0.0000 Sc
0.5000 0.0000 0.5000 Sc
0.1991 0.4491 0.7500 Tl
0.8009 0.5509 0.2500 Tl
0.1812 0.9312 0.2500 F
0.1865 0.3185 0.2658 F
0.1865 0.9207 0.8681 F
0.4378 0.6878 0.7500 F
0.4474 0.0793 0.7658 F
0.4474 0.6815 0.3681 F
0.5526 0.3185 0.6319 F
0.5526 0.9207 0.2342 F
0.5622 0.3122 0.2500 F
0.8135 0.0793 0.1319 F
0.8135 0.6815 0.7342 F
0.8188 0.0688 0.7500 F

Entry 15:
MgSc2TlF, relaxed, DFT PBE-GGA; crystal system = tetragonal; space group = No. 123; E_form (uncorrected) = -920 meV/atom; magnetic moment = 0.0 μB/f.u.; raw total energy = -4.619 eV/atom
1.0
4.6583 0.0000 0.0000
0.0000 4.6583 0.0000
0.0000 0.0000 4.4118
Mg Sc Tl F
1 2 1 1
Direct
0.0000 0.0000 0.0000 Mg
0.0000 0.5000 0.5000 Sc
0.5000 0.0000 0.5000 Sc
0.5000 0.5000 0.0000 Tl
0.0000 0.0000 0.5000 F